No. 1
! KGdP4O12, optimized geometry, DFT PBE; values from VASP
&SYSTEM
  ibrav = 0, nat = 72, ntyp = 4
/
ATOMIC_SPECIES
O 16.00 O.upf
P 30.97 P.upf
K 39.10 K.upf
Gd 157.25 Gd.upf
CELL_PARAMETERS angstrom
-6.2272 7.2567 -3.6090
-0.6314 -4.3721 -7.7016
-3.5576 -10.4219 6.2081
ATOMIC_POSITIONS angstrom
O -7.5709 -0.8735 -8.7559
O -7.3723 -6.4073 -1.7475
O -5.3451 -11.8833 -2.5281
O -2.7955 -4.0720 -4.7329
O -4.5751 -0.6240 -5.3276
O -6.8621 0.8179 -4.7273
O -4.9913 -2.6362 -3.7619
O -3.3983 2.0260 -1.4215
O -4.6145 -4.8995 2.2882
O -8.3612 -2.4565 1.7880
O -3.5541 -8.3552 -0.3751
O -3.2895 -5.4222 -0.1040
O -5.8017 -2.6378 -7.3906
O -2.0550 -5.0808 -6.8904
O -5.8411 -6.9133 0.2252
O -2.8452 -6.6638 3.6534
O -7.1010 -2.6042 -2.5341
O -7.0478 -4.6675 1.6598
O -1.4005 0.5517 -1.8641
O -5.4249 -4.9011 -1.3406
O -3.0145 -9.0999 2.2063
O -7.4017 1.5626 -7.3088
O -5.5331 -7.9032 2.7678
O -1.1557 -3.3354 0.0773
O -9.0788 -4.2084 -2.3471
O -7.6207 -3.4653 -0.3696
O -5.0711 4.3460 -2.5744
O -3.8020 -3.0224 -0.9177
O -4.6240 -9.6271 -2.2350
O -3.8625 -0.3188 -0.4417
O -5.0249 -7.2340 -2.1667
O -1.3374 -3.3289 -2.7554
O -7.6404 0.4507 -2.2546
O -9.0157 -8.0890 -3.2384
O -3.0439 -1.1300 -3.3550
O -7.1267 -2.1150 -4.9984
O -5.3913 -0.3032 -2.9357
O -3.3151 -4.9331 -2.5683
O -7.0179 -9.5633 -3.6810
O -2.7757 -7.9880 -2.8478
O -4.8831 0.3660 -7.8703
O -6.5537 -7.2185 -4.6608
O -9.2604 -4.2019 -5.1798
O -6.6142 -4.5149 -4.1848
O -9.4110 -4.7035 0.9493
O -5.7922 2.0897 -2.8674
O -1.0051 -2.8338 -6.0518
O -3.3684 -2.8698 -6.7623
P -4.9347 0.9533 -9.2459
P -3.8378 -8.2755 -1.8419
P -8.4022 -3.0358 -1.7147
P -2.1605 -3.7668 -6.1830
P -3.8795 -4.5038 -1.1168
P -4.4243 -1.1330 -3.9229
P -5.9919 -6.4043 -1.1796
P -5.9107 -4.3192 2.7477
P -6.5783 0.7382 -3.2606
P -6.5367 -3.0335 -3.9856
P -4.5055 -3.2181 -7.8502
P -3.9862 -11.0521 -2.6435
P -2.0140 -4.5015 -3.3878
P -6.4300 3.5148 -2.4589
P -8.2557 -3.7705 1.0806
P -5.4815 -8.4906 4.1435
K -5.3349 -10.5544 0.5720
K -5.0812 3.0171 -5.6745
K -6.6355 -0.6394 0.1677
K -3.7807 -6.8979 -5.2702
Gd -8.4673 -5.9447 -3.8057
Gd -6.6640 -0.5644 -6.6115
Gd -3.7522 -6.9729 1.5091
Gd -1.9489 -1.5926 -1.2968
! E: -523.343 eV/cell
! Crystal system: monoclinic

No. 2
! KGdPO, optimized geometry, DFT PBE; values from VASP
&SYSTEM
  ibrav = 0, nat = 8, ntyp = 4
/
ATOMIC_SPECIES
Gd 157.25 Gd.upf
K 39.10 K.upf
O 16.00 O.upf
P 30.97 P.upf
CELL_PARAMETERS angstrom
-0.2366 2.2522 3.3292
-3.6986 1.1837 -1.0636
-4.1459 -8.2213 5.2672
ATOMIC_POSITIONS angstrom
Gd -6.6759 -4.8087 6.4310
Gd -1.4052 0.0233 1.1018
K -4.9060 -2.6598 2.6682
K -3.1750 -2.1256 4.8646
O -1.1021 1.9851 2.2310
O -2.8331 1.4509 0.0346
P -4.0864 0.3263 3.1411
P -3.9947 -5.1117 4.3916
! Distance to the lowest polymorph of the same formula: 0.0827 eV per atom
! Crystal system: tetragonal

No. 3
! KGdPO, optimized geometry, DFT PBE; values from VASP
&SYSTEM
  ibrav = 0, nat = 8, ntyp = 4
/
ATOMIC_SPECIES
Gd 157.25 Gd.upf
O 16.00 O.upf
P 30.97 P.upf
K 39.10 K.upf
CELL_PARAMETERS angstrom
-2.0887 -4.8900 2.2210
2.8987 -3.0325 -3.9509
4.0022 -0.2787 3.1503
ATOMIC_POSITIONS angstrom
Gd 3.4504 -1.6556 -0.4003
Gd 0.9567 -2.5844 2.6856
O -1.0444 -2.4450 1.1105
O 1.4493 -1.5163 -1.9754
P 2.3955 -4.0999 0.7018
P 2.0117 -0.1401 1.5835
K 4.3972 -4.2393 2.2775
K 0.0100 -0.0007 0.0079
! Distance to the lowest polymorph of the same formula: 0.4590 eV per atom
! Crystal system: tetragonal

No. 4
! K2RbGdTa2O8, optimized geometry, DFT PBE; values from VASP
&SYSTEM
  ibrav = 0, nat = 14, ntyp = 5
/
ATOMIC_SPECIES
O 16.00 O.upf
Ta 180.95 Ta.upf
K 39.10 K.upf
Gd 157.25 Gd.upf
Rb 85.47 Rb.upf
CELL_PARAMETERS angstrom
6.0578 0.0000 0.0000
-3.0289 5.2462 0.0000
0.0000 0.0000 7.6705
ATOMIC_POSITIONS angstrom
O 1.5369 0.8873 1.4045
O 3.0289 1.7487 3.9620
O 3.0289 3.4715 1.4045
O 0.0000 3.4975 3.7085
O -1.4920 4.3589 6.2660
O 1.4920 4.3589 6.2660
O 0.0000 1.7747 6.2660
O 4.5209 0.8873 1.4045
Ta 3.0289 1.7487 2.1393
Ta 0.0000 3.4975 5.5312
K 0.0000 3.4975 1.2462
K 3.0289 1.7487 6.4243
Gd 0.0000 0.0000 0.0000
Rb 0.0000 0.0000 3.8352
! E: -108.541 eV/cell
! Crystal system: trigonal

Spin magnetization
In order: 0.009, 0.010, 0.000, 0.003
Unit: μB/cell
V
In order: 12.9, 21.5, 21.2, 17.4
Unit: A^3/atom